No. 1
First-principles (PBE-GGA) data for a geometry-optimized ZnP2RhS structure, as listed in the Alexandria database.

Properties
Excess energy over the best structure of this formula in the dataset, meV per atom: 0
Electronic total energy, eV/atom: -4.16
Formation energy without anion corrections, eV per atom: 0.5545

Cell lengths 4.453, 4.453, 5.160 Å; angles 90.00, 90.00, 90.00 degrees
Positions (direct):
P (0.500, 0.000, 0.000)
P (0.000, 0.500, 0.000)
Rh (0.000, 0.000, 0.000)
S (0.000, 0.000, 0.500)
Zn (0.500, 0.500, 0.500)

=====

No. 2
First-principles (PBE-GGA) data for a geometry-optimized CdInSnP2 structure, as listed in the Alexandria database.

Properties
Energy relative to the elements, kJ per mole of atoms: 80.3
Electronic total energy, eV/atom: -2.86

Cell lengths 4.959, 5.726, 4.959 Å; angles 90.00, 90.00, 90.00 degrees
Positions (direct):
P (0.000, 0.000, 0.500)
P (0.500, 0.000, 0.000)
In (0.500, 0.500, 0.500)
Cd (0.000, 0.000, 0.000)
Sn (0.000, 0.500, 0.000)